No. 1
A geometry-optimized BaSc2Pt structure, computed with PBE-GGA.

Cell lengths 9.505, 9.505, 9.505 Å; angles 143.75, 143.75, 52.20 degrees
Fractional coordinates of all 8 atoms:
Ba (0.375, 0.625, 0.750)
Ba (0.625, 0.375, 0.250)
Sc (0.000, 0.000, 0.000)
Sc (0.000, 0.000, 0.500)
Sc (0.000, 0.500, 0.000)
Sc (0.500, 0.000, 0.500)
Pt (0.125, 0.875, 0.250)
Pt (0.875, 0.125, 0.750)

Summary:
Total energy   -40.78 eV/cell
Space-group type   I4_1/amd, No. 141
ΔE_f   0.06 eV/atom
N(E_F)   1.476 states/eV per atom

---

No. 2
A geometry-optimized Ba2ScPt structure, computed with PBE-GGA.

Cell lengths 6.341, 6.341, 6.341 Å; angles 136.62, 136.62, 63.02 degrees
Fractional coordinates of all 4 atoms:
Ba (0.250, 0.750, 0.500)
Ba (0.750, 0.250, 0.500)
Sc (0.000, 0.000, 0.000)
Pt (0.500, 0.500, 0.000)

Summary:
Total energy   -15.77 eV/cell
Space-group type   I4/mmm, No. 139
ΔE_f   0.11 eV/atom
N(E_F)   1.200 states/eV per atom

---

No. 3
A geometry-optimized BaScPt2 structure, computed with PBE-GGA.

Cell lengths 5.136, 5.136, 3.497 Å; angles 90.00, 90.00, 90.00 degrees
Fractional coordinates of all 4 atoms:
Ba (0.000, 0.000, 0.000)
Sc (0.500, 0.500, 0.000)
Pt (0.000, 0.500, 0.500)
Pt (0.500, 0.000, 0.500)

Summary:
Total energy   -22.71 eV/cell
Space-group type   P4/mmm, No. 123
ΔE_f   -0.59 eV/atom
N(E_F)   0.506 states/eV per atom

---

No. 4
A geometry-optimized Ba2ScPt structure, computed with PBE-GGA.

Cell lengths 5.497, 5.497, 5.497 Å; angles 60.00, 60.00, 60.00 degrees
Fractional coordinates of all 4 atoms:
Ba (0.000, 0.000, 0.000)
Ba (0.250, 0.250, 0.250)
Sc (0.750, 0.750, 0.750)
Pt (0.500, 0.500, 0.500)

Summary:
Total energy   -15.88 eV/cell
Space-group type   F-43m, No. 216
ΔE_f   0.08 eV/atom
N(E_F)   1.284 states/eV per atom

---

No. 5
A geometry-optimized BaScPt2 structure, computed with PBE-GGA.

Cell lengths 3.449, 3.513, 7.524 Å; angles 90.00, 90.00, 90.00 degrees
Fractional coordinates of all 4 atoms:
Ba (0.000, 0.000, 0.000)
Sc (0.000, 0.000, 0.500)
Pt (0.500, 0.500, 0.309)
Pt (0.500, 0.500, 0.691)

Summary:
Total energy   -23.96 eV/cell
Space-group type   Pmmm, No. 47
ΔE_f   -0.91 eV/atom
N(E_F)   0.313 states/eV per atom

---

No. 6
A geometry-optimized BaScPt2 structure, computed with PBE-GGA.

Cell lengths 3.760, 4.308, 6.707 Å; angles 90.00, 106.20, 90.00 degrees
Fractional coordinates of all 4 atoms:
Ba (0.000, 0.000, 0.000)
Sc (0.261, 0.500, 0.525)
Pt (0.613, 0.500, 0.227)
Pt (0.748, 0.000, 0.499)

Summary:
Total energy   -23.37 eV/cell
Space-group type   Pm, No. 6
ΔE_f   -0.76 eV/atom
N(E_F)   0.637 states/eV per atom

---

No. 7
A geometry-optimized BaSc2Pt2 structure, computed with PBE-GGA.

Cell lengths 6.791, 6.791, 6.791 Å; angles 140.80, 140.80, 56.64 degrees
Fractional coordinates of all 5 atoms:
Ba (0.000, 0.000, 0.000)
Sc (0.250, 0.750, 0.500)
Sc (0.750, 0.250, 0.500)
Pt (0.377, 0.377, 0.000)
Pt (0.623, 0.623, 0.000)

Summary:
Total energy   -31.40 eV/cell
Space-group type   I4/mmm, No. 139
ΔE_f   -0.95 eV/atom
N(E_F)   0.615 states/eV per atom

---

No. 8
A geometry-optimized BaSc3Pt structure, computed with PBE-GGA.

Cell lengths 5.277, 5.277, 5.277 Å; angles 90.00, 90.00, 90.00 degrees
Fractional coordinates of all 5 atoms:
Ba (0.000, 0.000, 0.000)
Sc (0.000, 0.500, 0.500)
Sc (0.500, 0.000, 0.500)
Sc (0.500, 0.500, 0.000)
Pt (0.500, 0.500, 0.500)

Summary:
Total energy   -28.72 eV/cell
Space-group type   Pm-3m, No. 221
ΔE_f   -0.35 eV/atom
N(E_F)   1.008 states/eV per atom

---

No. 9
A geometry-optimized BaScPt3 structure, computed with PBE-GGA.

Cell lengths 5.039, 5.039, 5.039 Å; angles 90.00, 90.00, 90.00 degrees
Fractional coordinates of all 5 atoms:
Ba (0.000, 0.000, 0.000)
Sc (0.500, 0.500, 0.500)
Pt (0.000, 0.500, 0.500)
Pt (0.500, 0.000, 0.500)
Pt (0.500, 0.500, 0.000)

Summary:
Total energy   -28.14 eV/cell
Space-group type   Pm-3m, No. 221
ΔE_f   -0.35 eV/atom
N(E_F)   0.688 states/eV per atom

---

No. 10
A geometry-optimized Ba2ScPt structure, computed with PBE-GGA.

Cell lengths 3.868, 3.868, 9.482 Å; angles 90.00, 90.00, 90.00 degrees
Fractional coordinates of all 4 atoms:
Ba (0.000, 0.000, 0.195)
Ba (0.000, 0.000, 0.805)
Sc (0.500, 0.500, 0.500)
Pt (0.500, 0.500, 0.000)

Summary:
Total energy   -16.59 eV/cell
Space-group type   P4/mmm, No. 123
ΔE_f   -0.09 eV/atom
N(E_F)   1.078 states/eV per atom

---

No. 11
A geometry-optimized Ba2Sc2Pt structure, computed with PBE-GGA.

Cell lengths 7.119, 7.119, 6.161 Å; angles 90.00, 90.00, 90.00 degrees
Fractional coordinates of all 10 atoms:
Ba (0.184, 0.316, 0.000)
Ba (0.316, 0.816, 0.000)
Ba (0.684, 0.184, 0.000)
Ba (0.816, 0.684, 0.000)
Sc (0.161, 0.661, 0.500)
Sc (0.339, 0.161, 0.500)
Sc (0.661, 0.839, 0.500)
Sc (0.839, 0.339, 0.500)
Pt (0.000, 0.000, 0.500)
Pt (0.500, 0.500, 0.500)

Summary:
Total energy   -46.75 eV/cell
Space-group type   P4/mbm, No. 127
ΔE_f   -0.17 eV/atom
N(E_F)   1.149 states/eV per atom

---

No. 12
A geometry-optimized BaSc2Pt structure, computed with PBE-GGA.

Cell lengths 6.123, 6.123, 6.123 Å; angles 137.89, 137.89, 61.08 degrees
Fractional coordinates of all 4 atoms:
Ba (0.000, 0.000, 0.000)
Sc (0.250, 0.750, 0.500)
Sc (0.750, 0.250, 0.500)
Pt (0.500, 0.500, 0.000)

Summary:
Total energy   -20.54 eV/cell
Space-group type   I4/mmm, No. 139
ΔE_f   0.02 eV/atom
N(E_F)   1.065 states/eV per atom